[1]
PuThAlZn: optimized geometry, PBE.

The space group is F-43m (No. 216) and the conventional cell measures 7.278, 7.278 and 7.278 Å, with angles of 90.00, 90.00 and 90.00 degrees. The inequivalent atoms are Pu at (0.000, 0.000, 0.000), Th at (0.000, 0.000, 0.500), Al at (0.250, 0.250, 0.750) and Zn at (0.250, 0.250, 0.250).

The calculation puts the formation energy at -0.113 eV per atom. The value obtained for the volume is 385.5 Å³ per cell. Its total DFT energy (no corrections) is -6.806 eV/atom.

***

[2]
Hf2ZrSn: optimized geometry, PBE.

The space group is P2_1/m (No. 11) and the conventional cell measures 4.219, 4.208 and 10.570 Å, with angles of 90.00, 101.50 and 90.00 degrees. The inequivalent atoms are Hf at (0.054, 0.250, 0.108), Hf at (0.445, 0.250, 0.890), Zr at (0.306, 0.750, 0.612) and Sn at (0.164, 0.750, 0.328).

The calculation puts the formation energy at -0.323 eV per atom. The value obtained for the volume is 183.9 Å³ per cell. Its total DFT energy (no corrections) is -8.438 eV/atom.